## CuNi3O (PBE with a Hubbard U)

Data for a relaxed CuNi3O crystal.

POSCAR file:
```
CuNi3O
1.0
4.4189 0.0000 0.0000
0.0000 4.4189 0.0000
0.0000 0.0000 4.4189
Cu Ni O
1 3 1
Cartesian
0.0000 0.0000 0.0000
0.0000 0.0000 2.2094
0.0000 2.2094 0.0000
2.2094 0.0000 0.0000
2.2094 2.2094 2.2094
```

Summary:
For the energy, the calculation gives -1.63 eV per atom. The total magnetization comes out at 3.236 μB/f.u. As for the density of states at the Fermi level: 0.35 states/eV/atom. Its symmetry is No. 221. The calculation puts the energy relative to the lowest polymorph listed for this composition at 729 kJ/mol of formula units.